# LiMg2Pd | OQMD via LeMat-Bulk | PBE | relaxed
# Relative energy among the computed polymorphs (eV/atom): 0.103
data_LiMg2Pd
_cell_length_a 7.1598
_cell_length_b 7.9752
_cell_length_c 5.5187
_cell_angle_alpha 90.00
_cell_angle_beta 90.00
_cell_angle_gamma 90.00
_symmetry_space_group_name_H-M 'P n m a'
_symmetry_Int_Tables_number 62
loop_
_symmetry_equiv_pos_as_xyz
'x,y,z'
'-x,-y,-z'
'-x+1/2,-y,z+1/2'
'x+1/2,y,-z+1/2'
'x+1/2,-y+1/2,-z+1/2'
'-x+1/2,y+1/2,z+1/2'
'-x,y+1/2,-z'
'x,-y+1/2,z'
loop_
_atom_site_label
_atom_site_type_symbol
_atom_site_fract_x
_atom_site_fract_y
_atom_site_fract_z
_atom_site_occupancy
Li1 Li 0.0314 0.2500 0.1114 1
Mg1 Mg 0.1723 0.0550 0.6408 1
Pd1 Pd 0.1272 0.7500 0.4323 1

# TbPmNi | OQMD via LeMat-Bulk | PBE | relaxed
# DFT formation energy (eV per atom): -0.100
data_TbPmNi
_cell_length_a 6.7851
_cell_length_b 6.7851
_cell_length_c 6.7851
_cell_angle_alpha 90.00
_cell_angle_beta 90.00
_cell_angle_gamma 90.00
_symmetry_space_group_name_H-M 'F -4 3 m'
_symmetry_Int_Tables_number 216
_symmetry_space_group_name_Hall 'F -4 2 3'
loop_
_atom_site_label
_atom_site_type_symbol
_atom_site_fract_x
_atom_site_fract_y
_atom_site_fract_z
_atom_site_occupancy
Tb1 Tb 0.0000 0.0000 0.0000 1
Pm1 Pm 0.0000 0.0000 0.5000 1
Ni1 Ni 0.2500 0.2500 0.7500 1

# CdTePt | OQMD via LeMat-Bulk | PBE | relaxed
# VASP energy (eV per atom): -3.228
data_CdTePt
_cell_length_a 6.6192
_cell_length_b 6.6192
_cell_length_c 6.6192
_cell_angle_alpha 90.00
_cell_angle_beta 90.00
_cell_angle_gamma 90.00
_symmetry_space_group_name_H-M 'F -4 3 m'
_symmetry_Int_Tables_number 216
_symmetry_space_group_name_Hall 'F -4 2 3'
loop_
_atom_site_label
_atom_site_type_symbol
_atom_site_fract_x
_atom_site_fract_y
_atom_site_fract_z
_atom_site_occupancy
Cd1 Cd 0.0000 0.0000 0.0000 1
Te1 Te 0.2500 0.2500 0.2500 1
Pt1 Pt 0.0000 0.0000 0.5000 1

# LiTmGe | OQMD via LeMat-Bulk | PBE | relaxed
# VASP energy (eV per atom): -4.340
data_LiTmGe
_cell_length_a 4.3532
_cell_length_b 4.3532
_cell_length_c 6.9909
_cell_angle_alpha 90.00
_cell_angle_beta 90.00
_cell_angle_gamma 120.00
_symmetry_space_group_name_H-M 'P 63 m c'
_symmetry_Int_Tables_number 186
_symmetry_space_group_name_Hall 'P 6c -2c'
loop_
_atom_site_label
_atom_site_type_symbol
_atom_site_fract_x
_atom_site_fract_y
_atom_site_fract_z
_atom_site_occupancy
Li1 Li 0.3333 0.6667 0.0000 1
Tm1 Tm 0.0000 0.0000 0.2234 1
Ge1 Ge 0.3333 0.6667 0.4536 1

# Au | OQMD via LeMat-Bulk | PBE | relaxed
# DFT formation energy (eV per atom): 0.200
# Relative energy among the computed polymorphs (eV/atom): 0.200
data_Au
_cell_length_a 4.0267
_cell_length_b 4.0267
_cell_length_c 4.2653
_cell_angle_alpha 90.00
_cell_angle_beta 90.00
_cell_angle_gamma 120.00
_symmetry_space_group_name_H-M 'R -3 m'
_symmetry_Int_Tables_number 166
_symmetry_space_group_name_Hall '-R 3 2"'
loop_
_atom_site_label
_atom_site_type_symbol
_atom_site_fract_x
_atom_site_fract_y
_atom_site_fract_z
_atom_site_occupancy
Au1 Au 0.0000 0.0000 0.0000 1

# NaNpRe | OQMD via LeMat-Bulk | PBE | relaxed
# Relative energy among the computed polymorphs (eV/atom): 0.000
data_NaNpRe
_cell_length_a 6.4576
_cell_length_b 6.4576
_cell_length_c 6.4576
_cell_angle_alpha 90.00
_cell_angle_beta 90.00
_cell_angle_gamma 90.00
_symmetry_space_group_name_H-M 'F -4 3 m'
_symmetry_Int_Tables_number 216
_symmetry_space_group_name_Hall 'F -4 2 3'
loop_
_atom_site_label
_atom_site_type_symbol
_atom_site_fract_x
_atom_site_fract_y
_atom_site_fract_z
_atom_site_occupancy
Na1 Na 0.0000 0.0000 0.0000 1
Np1 Np 0.0000 0.0000 0.5000 1
Re1 Re 0.2500 0.2500 0.7500 1

# U2Tc2C3 | OQMD via LeMat-Bulk | PBE | relaxed
# VASP energy (eV per atom): -10.329
data_U2Tc2C3
_cell_length_a 12.1019
_cell_length_b 3.0771
_cell_length_c 5.4490
_cell_angle_alpha 90.00
_cell_angle_beta 115.71
_cell_angle_gamma 90.00
_symmetry_space_group_name_H-M 'C 1 2/m 1'
_symmetry_Int_Tables_number 12
loop_
_symmetry_equiv_pos_as_xyz
'x,y,z'
'-x,-y,-z'
'-x,y,-z'
'x,-y,z'
'x+1/2,y+1/2,z'
'-x+1/2,-y+1/2,-z'
'-x+1/2,y+1/2,-z'
'x+1/2,-y+1/2,z'
loop_
_atom_site_label
_atom_site_type_symbol
_atom_site_fract_x
_atom_site_fract_y
_atom_site_fract_z
_atom_site_occupancy
U1 U 0.0911 0.0000 0.2666 1
Tc1 Tc 0.1588 0.5000 0.8228 1
C1 C 0.0000 0.5000 0.5000 1
C2 C 0.2471 0.5000 0.2615 1

# Zn6IrPt | OQMD via LeMat-Bulk | PBE | relaxed
# DFT formation energy (eV per atom): -0.302
data_Zn6IrPt
_cell_length_a 4.3566
_cell_length_b 5.3652
_cell_length_c 4.8700
_cell_angle_alpha 90.00
_cell_angle_beta 90.00
_cell_angle_gamma 90.00
_symmetry_space_group_name_H-M 'P m m 2'
_symmetry_Int_Tables_number 25
loop_
_symmetry_equiv_pos_as_xyz
'x,y,z'
'-x,-y,z'
'-x,y,z'
'x,-y,z'
loop_
_atom_site_label
_atom_site_type_symbol
_atom_site_fract_x
_atom_site_fract_y
_atom_site_fract_z
_atom_site_occupancy
Zn1 Zn 0.0000 0.0000 0.0000 1
Zn2 Zn 0.0000 0.2522 0.5297 1
Zn3 Zn 0.5000 0.2413 0.2051 1
Zn4 Zn 0.5000 0.5000 0.7236 1
Ir1 Ir 0.5000 0.0000 0.6925 1
Pt1 Pt 0.0000 0.5000 0.0425 1